Version A
{
  "formula": "ScCrSb2",
  "functional": "PBE",
  "state": "relaxed",
  "cell": [[4.1048, 0.0000, 0.0000], [-2.0524, 3.5548, 0.0000], [0.0000, 0.0000, 18.8849]],
  "species": ["Sc", "Sc", "Sc", "Cr", "Cr", "Cr", "Sb", "Sb", "Sb", "Sb", "Sb", "Sb"],
  "frac_coords": [[0.0000, 0.0000, 0.0000], [0.3333, 0.6667, 0.6667], [0.6667, 0.3333, 0.3333], [0.0000, 0.0000, 0.5000], [0.3333, 0.6667, 0.1667], [0.6667, 0.3333, 0.8333], [0.0000, 0.0000, 0.2411], [0.0000, 0.0000, 0.7589], [0.3333, 0.6667, 0.4255], [0.3333, 0.6667, 0.9078], [0.6667, 0.3333, 0.0922], [0.6667, 0.3333, 0.5745]],
  "space_group": "No. 166",
  "m_tot_mub_per_fu": 2.8
}

=====

Version B
{
  "formula": "ScCrSb2",
  "functional": "PBE",
  "state": "relaxed",
  "cell": [[6.7999, 0.0000, 0.0000], [0.0000, 6.7999, 0.0000], [0.0000, 0.0000, 6.7999]],
  "species": ["Sc", "Sc", "Sc", "Sc", "Cr", "Cr", "Cr", "Cr", "Sb", "Sb", "Sb", "Sb", "Sb", "Sb", "Sb", "Sb"],
  "frac_coords": [[0.0000, 0.0000, 0.0000], [0.0000, 0.5000, 0.5000], [0.5000, 0.0000, 0.5000], [0.5000, 0.5000, 0.0000], [0.0000, 0.0000, 0.5000], [0.0000, 0.5000, 0.0000], [0.5000, 0.0000, 0.0000], [0.5000, 0.5000, 0.5000], [0.2500, 0.2500, 0.2500], [0.2500, 0.2500, 0.7500], [0.2500, 0.7500, 0.2500], [0.2500, 0.7500, 0.7500], [0.7500, 0.2500, 0.2500], [0.7500, 0.2500, 0.7500], [0.7500, 0.7500, 0.2500], [0.7500, 0.7500, 0.7500]],
  "space_group": "No. 225",
  "m_tot_mub_per_fu": 0.0
}

=====

Version C
{
  "formula": "ScCrSb2",
  "functional": "PBE",
  "state": "relaxed",
  "cell": [[6.0287, 0.0000, 0.0000], [0.0000, 6.0287, 0.0000], [0.0000, 0.0000, 14.0131]],
  "species": ["Sc", "Sc", "Sc", "Sc", "Cr", "Cr", "Cr", "Cr", "Sb", "Sb", "Sb", "Sb", "Sb", "Sb", "Sb", "Sb"],
  "frac_coords": [[0.0000, 0.0000, 0.0000], [0.0000, 0.5000, 0.2500], [0.5000, 0.0000, 0.7500], [0.5000, 0.5000, 0.5000], [0.0000, 0.0000, 0.5000], [0.0000, 0.5000, 0.7500], [0.5000, 0.0000, 0.2500], [0.5000, 0.5000, 0.0000], [0.2164, 0.2500, 0.6250], [0.2500, 0.7164, 0.8750], [0.2500, 0.7836, 0.3750], [0.2836, 0.2500, 0.1250], [0.7164, 0.7500, 0.1250], [0.7500, 0.2164, 0.3750], [0.7500, 0.2836, 0.8750], [0.7836, 0.7500, 0.6250]],
  "space_group": "No. 122",
  "m_tot_mub_per_fu": 3.0
}

=====

Version D
{
  "formula": "ScCrSb2",
  "functional": "PBE",
  "state": "relaxed",
  "cell": [[4.2311, 0.0000, 0.0000], [0.0000, 5.5650, 0.0000], [0.0000, 0.0000, 7.5369]],
  "species": ["Sc", "Sc", "Cr", "Cr", "Sb", "Sb", "Sb", "Sb"],
  "frac_coords": [[0.0000, 0.0000, 0.0000], [0.5000, 0.5000, 0.0000], [0.0000, 0.0000, 0.5000], [0.5000, 0.5000, 0.5000], [0.0000, 0.5000, 0.2660], [0.0000, 0.5000, 0.7340], [0.5000, 0.0000, 0.2660], [0.5000, 0.0000, 0.7340]],
  "space_group": "No. 65",
  "m_tot_mub_per_fu": 3.5
}

=====

Which structure wins on stability? version A wins.

=====

Version A
{
  "formula": "ScCrSb2",
  "functional": "PBE",
  "state": "relaxed",
  "cell": [[7.1491, 0.0000, 0.0000], [0.0000, 7.1491, 0.0000], [0.0000, 0.0000, 7.1491]],
  "species": ["Sc", "Sc", "Sc", "Sc", "Cr", "Cr", "Cr", "Cr", "Sb", "Sb", "Sb", "Sb", "Sb", "Sb", "Sb", "Sb"],
  "frac_coords": [[0.0000, 0.0000, 0.0000], [0.0000, 0.5000, 0.5000], [0.5000, 0.0000, 0.5000], [0.5000, 0.5000, 0.0000], [0.2500, 0.2500, 0.2500], [0.2500, 0.7500, 0.7500], [0.7500, 0.2500, 0.7500], [0.7500, 0.7500, 0.2500], [0.0000, 0.0000, 0.5000], [0.0000, 0.5000, 0.0000], [0.2500, 0.2500, 0.7500], [0.2500, 0.7500, 0.2500], [0.5000, 0.0000, 0.0000], [0.5000, 0.5000, 0.5000], [0.7500, 0.2500, 0.2500], [0.7500, 0.7500, 0.7500]],
  "space_group": "No. 216",
  "m_tot_mub_per_fu": 3.7
}

=====

Version B
{
  "formula": "ScCrSb2",
  "functional": "PBE",
  "state": "relaxed",
  "cell": [[3.8778, 0.0000, 0.0000], [0.0000, 3.9634, 0.0000], [0.0000, 0.0000, 11.7966]],
  "species": ["Sc", "Sc", "Cr", "Cr", "Sb", "Sb", "Sb", "Sb"],
  "frac_coords": [[0.0000, 0.0000, 0.0000], [0.5000, 0.5000, 0.5000], [0.0000, 0.5000, 0.2485], [0.5000, 0.0000, 0.7485], [0.0000, 0.0000, 0.5721], [0.0000, 0.5000, 0.8095], [0.5000, 0.0000, 0.3095], [0.5000, 0.5000, 0.0721]],
  "space_group": "No. 44",
  "m_tot_mub_per_fu": 3.4
}

=====

Version C
{
  "formula": "ScCrSb2",
  "functional": "PBE",
  "state": "relaxed",
  "cell": [[3.3819, 0.0000, 0.0000], [0.0000, 4.0019, 0.0000], [-1.1959, 0.0000, 6.5758]],
  "species": ["Sc", "Cr", "Sb", "Sb"],
  "frac_coords": [[0.0000, 0.0000, 0.0000], [0.5000, 0.0000, 0.5000], [0.2978, 0.5000, 0.7418], [0.7022, 0.5000, 0.2582]],
  "space_group": "No. 10",
  "m_tot_mub_per_fu": 3.4
}

=====

Version D
{
  "formula": "ScCrSb2",
  "functional": "PBE",
  "state": "relaxed",
  "cell": [[3.2913, 0.0000, 0.0000], [0.0000, 3.2913, 0.0000], [0.0000, 0.0000, 7.3440]],
  "species": ["Sc", "Cr", "Sb", "Sb"],
  "frac_coords": [[0.0000, 0.0000, 0.0000], [0.0000, 0.0000, 0.5000], [0.5000, 0.5000, 0.2818], [0.5000, 0.5000, 0.7182]],
  "space_group": "No. 123",
  "m_tot_mub_per_fu": 1.2
}

=====

Which structure wins on stability? version B wins.